Entry A
## Nd2Mg3Hg4 (PBE-GGA)

Data for a relaxed Nd2Mg3Hg4 crystal.

space group = Cmce (64)

Lattice parameters (Å, degrees): 9.063 9.063 8.035 90.00 90.00 137.51
Fractional coordinates of all 18 atoms:
Nd: 0.107 0.893 0.913
Nd: 0.393 0.607 0.413
Nd: 0.607 0.393 0.587
Nd: 0.893 0.107 0.087
Mg: 0.000 0.000 0.500
Mg: 0.022 0.478 0.750
Mg: 0.478 0.022 0.250
Mg: 0.500 0.500 0.000
Mg: 0.522 0.978 0.750
Mg: 0.978 0.522 0.250
Hg: 0.173 0.827 0.534
Hg: 0.195 0.305 0.750
Hg: 0.305 0.195 0.250
Hg: 0.327 0.673 0.034
Hg: 0.673 0.327 0.966
Hg: 0.695 0.805 0.750
Hg: 0.805 0.695 0.250
Hg: 0.827 0.173 0.466

Entry B
## Nd2Mg3Hg4 (PBE-GGA)

Data for a relaxed Nd2Mg3Hg4 crystal.

space group = C2/m (12)

Lattice parameters (Å, degrees): 5.074 5.074 10.003 90.05 90.05 60.02
Fractional coordinates of all 9 atoms:
Nd: 0.167 0.167 0.287
Nd: 0.833 0.833 0.713
Mg: 0.167 0.167 0.928
Mg: 0.500 0.500 0.500
Mg: 0.833 0.833 0.072
Hg: 0.167 0.167 0.601
Hg: 0.499 0.499 0.151
Hg: 0.501 0.501 0.849
Hg: 0.833 0.833 0.399

How do the energies compare? Relative to the most stable structure, in meV/atom: entry A 34; entry B 0.

Entry A
## Nd6MgHg (PBE-GGA)

Data for a relaxed Nd6MgHg crystal.

space group = I4/mmm (139)

Lattice parameters (Å, degrees): 9.935 9.935 9.935 149.24 149.24 44.06
Fractional coordinates of all 8 atoms:
Nd: 0.112 0.612 0.500
Nd: 0.249 0.249 0.000
Nd: 0.388 0.888 0.500
Nd: 0.612 0.112 0.500
Nd: 0.751 0.751 0.000
Nd: 0.888 0.388 0.500
Mg: 0.000 0.000 0.000
Hg: 0.500 0.500 0.000

Entry B
## Nd6MgHg (PBE-GGA)

Data for a relaxed Nd6MgHg crystal.

space group = P-1 (2)

Lattice parameters (Å, degrees): 6.369 6.372 6.373 92.85 92.98 92.98
Fractional coordinates of all 8 atoms:
Nd: 0.028 0.254 0.046
Nd: 0.246 0.954 0.471
Nd: 0.455 0.471 0.745
Nd: 0.545 0.529 0.255
Nd: 0.754 0.046 0.529
Nd: 0.972 0.746 0.954
Mg: 0.500 0.000 0.000
Hg: 0.000 0.500 0.500

How do the energies compare? Relative to the most stable structure, in meV/atom: entry A 0; entry B 75.